1.
# MnTlW

A geometry-optimized MnTlW structure (PBE, Alexandria via LeMat-Bulk).

Cell lengths 6.0862, 6.0862, 6.0862 Å; angles 90.00, 90.00, 90.00 degrees
Closest atoms and distances in Å follow each position.
Space group F-43m (No. 216)
One atom of each set of equivalent atoms:
Mn (0.0000, 0.0000, 0.0000) [4 per cell]  4 Tl 2.64, 4 W 2.64
Tl (0.2500, 0.2500, 0.7500) [4 per cell]  4 Mn 2.64
W (0.2500, 0.2500, 0.2500) [4 per cell]  4 Mn 2.64

Computed properties:
Its energy of formation is 894 meV per atom. The uncorrected energy comes out at -7.269 eV per atom. The density of states at the Fermi level comes out at 3.80 states/eV per cell. Its total magnetization is 7.928 μB/cell. The volume is 18.79 Å³/atom. Its excess energy over the best structure of this formula in the dataset is 265 meV/atom.

***

2.
# Sm8CS6

A geometry-optimized Sm8CS6 structure (PBE, Alexandria via LeMat-Bulk).

Cell lengths 9.9895, 9.9895, 4.1073 Å; angles 90.00, 90.00, 120.00 degrees
Closest atoms and distances in Å follow each position.
Space group P-3 (No. 147)
One atom of each set of equivalent atoms:
Sm (0.0275, 0.3027, 0.2370) [6 per cell]  3 S 2.73-2.79, 1 C 3.06
Sm (0.3333, 0.6667, 0.7535) [2 per cell]  6 S 2.84-2.85
C (0.0000, 0.0000, 0.0000) [1 per cell]  6 Sm 3.06
S (0.1284, 0.6504, 0.2543) [6 per cell]  5 Sm 2.73-2.85

Computed properties:
For the energy relative to the elements, uncorrected, the calculation gives -17.808 eV per formula unit. The uncorrected energy comes out at -5.970 eV per atom. The density of states at the Fermi level comes out at 9.88 states/eV per cell. Its total magnetization is 0.000 μB/cell. The volume is 23.66 Å³/atom.

***

3.
# Ca3RuW

A geometry-optimized Ca3RuW structure (PBE, Alexandria via LeMat-Bulk).

Cell lengths 5.4239, 5.4239, 5.4239 Å; angles 90.00, 90.00, 90.00 degrees
Closest atoms and distances in Å follow each position.
Space group Pm-3m (No. 221)
One atom of each set of equivalent atoms:
Ca (0.0000, 0.0000, 0.5000) [3 per cell]  2 W 2.71
Ru (0.5000, 0.5000, 0.5000) [1 per cell]  12 Ca 3.84
W (0.0000, 0.0000, 0.0000) [1 per cell]  6 Ca 2.71

Computed properties:
Its energy of formation is 1726 meV per atom. The uncorrected energy comes out at -3.920 eV per atom. The density of states at the Fermi level comes out at 17.43 states/eV per cell. Its total magnetization is 3.155 μB/cell. The volume is 31.91 Å³/atom. Its excess energy over the best structure of this formula in the dataset is 525 meV/atom.